VASP calculation (GGA-PBE) on a relaxed FeAgRu crystal.

abc: 4.128 4.128 4.128
angles: 60.00 60.00 60.00
Fractional coordinates of all 3 atoms:
Ru  0.000  0.000  0.000
Fe  0.750  0.750  0.750
Ag  0.500  0.500  0.500

Calculated values
Calculated volume (Å³/cell): 50
Fermi-level density of states (states/eV/atom): 2.22
Offset from the most stable computed form (eV/atom): 0.510

---

VASP calculation (GGA-PBE) on a relaxed FeAg2Ru crystal.

abc: 9.429 9.429 9.429
angles: 16.87 16.87 16.87
Fractional coordinates of all 4 atoms:
Ag  0.245  0.245  0.245
Ag  0.003  0.003  0.003
Ru  0.758  0.758  0.758
Fe  0.495  0.495  0.495

Calculated values
Calculated volume (Å³/cell): 62
Fermi-level density of states (states/eV/atom): 0.51
Offset from the most stable computed form (eV/atom): 0.000

---

VASP calculation (GGA-PBE) on a relaxed FeAgRu2 crystal.

abc: 4.772 4.772 2.697
angles: 90.00 90.00 110.89
Fractional coordinates of all 4 atoms:
Fe  0.000  0.500  0.500
Ru  0.500  0.500  0.000
Ru  0.000  0.000  0.000
Ag  0.500  0.000  0.500

Calculated values
Calculated volume (Å³/cell): 57
Fermi-level density of states (states/eV/atom): 1.44
Offset from the most stable computed form (eV/atom): 0.239

---

VASP calculation (GGA-PBE) on a relaxed FeAgRu2 crystal.

abc: 4.895 4.895 4.659
angles: 76.07 76.07 32.36
Fractional coordinates of all 4 atoms:
Ag  0.250  0.250  0.250
Ru  0.023  0.023  0.973
Ru  0.477  0.477  0.527
Fe  0.750  0.750  0.750

Calculated values
Calculated volume (Å³/cell): 58
Fermi-level density of states (states/eV/atom): 1.15
Offset from the most stable computed form (eV/atom): 0.089

---

VASP calculation (GGA-PBE) on a relaxed FeAg2Ru crystal.

abc: 5.061 5.061 2.686
angles: 90.00 90.00 115.38
Fractional coordinates of all 4 atoms:
Ru  0.000  0.500  0.500
Ag  0.500  0.500  0.000
Ag  0.000  0.000  0.000
Fe  0.500  0.000  0.500

Calculated values
Calculated volume (Å³/cell): 62
Fermi-level density of states (states/eV/atom): 0.88
Offset from the most stable computed form (eV/atom): 0.227

---

VASP calculation (GGA-PBE) on a relaxed FeAg2Ru crystal.

abc: 4.723 4.723 4.723
angles: 128.88 128.88 75.20
Fractional coordinates of all 4 atoms:
Ru  0.750  0.250  0.500
Ag  0.000  0.000  0.000
Ag  0.250  0.750  0.500
Fe  0.500  0.500  0.000

Calculated values
Calculated volume (Å³/cell): 62
Fermi-level density of states (states/eV/atom): 0.54
Offset from the most stable computed form (eV/atom): 0.217

---

VASP calculation (GGA-PBE) on a relaxed FeAgRu2 crystal.

abc: 2.684 2.684 9.213
angles: 90.00 90.00 116.83
Fractional coordinates of all 4 atoms:
Ag  0.000  0.000  0.508
Fe  0.500  0.500  0.765
Ru  0.500  0.500  0.234
Ru  0.000  0.000  0.994

Calculated values
Calculated volume (Å³/cell): 59
Fermi-level density of states (states/eV/atom): 1.22
Offset from the most stable computed form (eV/atom): 0.158

---

VASP calculation (GGA-PBE) on a relaxed FeAgRu3 crystal.

abc: 4.410 4.410 4.410
angles: 90.00 90.00 90.00
Fractional coordinates of all 5 atoms:
Ru  0.000  0.500  0.000
Ru  0.000  0.000  0.500
Ru  0.500  0.000  0.000
Ag  0.500  0.500  0.500
Fe  0.000  0.000  0.000

Calculated values
Calculated volume (Å³/cell): 86
Fermi-level density of states (states/eV/atom): 1.18
Offset from the most stable computed form (eV/atom): 0.000

---

VASP calculation (GGA-PBE) on a relaxed FeAg2Ru crystal.

abc: 4.401 4.401 4.401
angles: 60.00 60.00 60.00
Fractional coordinates of all 4 atoms:
Ag  0.250  0.250  0.250
Ag  0.750  0.750  0.750
Fe  0.000  0.000  0.000
Ru  0.500  0.500  0.500

Calculated values
Calculated volume (Å³/cell): 60
Fermi-level density of states (states/eV/atom): 1.95
Offset from the most stable computed form (eV/atom): 0.679

---

VASP calculation (GGA-PBE) on a relaxed FeAg2Ru crystal.

abc: 2.737 2.737 9.149
angles: 90.00 90.00 113.28
Fractional coordinates of all 4 atoms:
Ru  0.500  0.500  0.727
Ag  0.500  0.500  0.265
Ag  0.000  0.000  0.993
Fe  0.000  0.000  0.515

Calculated values
Calculated volume (Å³/cell): 63
Fermi-level density of states (states/eV/atom): 0.95
Offset from the most stable computed form (eV/atom): 0.056

---

VASP calculation (GGA-PBE) on a relaxed FeAgRu2 crystal.

abc: 3.789 2.756 6.245
angles: 63.73 90.00 90.00
Fractional coordinates of all 4 atoms:
Ru  0.500  0.286  0.214
Ru  0.000  0.991  0.010
Ag  0.000  0.491  0.509
Fe  0.500  0.733  0.767

Calculated values
Calculated volume (Å³/cell): 58
Fermi-level density of states (states/eV/atom): 0.95
Offset from the most stable computed form (eV/atom): 0.034

---

VASP calculation (GGA-PBE) on a relaxed FeAgRu crystal.

abc: 7.082 6.883 2.690
angles: 83.09 74.76 22.15
Fractional coordinates of all 3 atoms:
Ru  0.679  0.679  0.321
Fe  0.325  0.325  0.675
Ag  0.996  0.996  0.004

Calculated values
Calculated volume (Å³/cell): 45
Fermi-level density of states (states/eV/atom): 1.26
Offset from the most stable computed form (eV/atom): 0.083